## Li4GaSbAu2 (GGA-PBE)

Data for crystalline Li4GaSbAu2 at its relaxed geometry.

```
Li4GaSbAu2
1.0
4.4487 0.0000 0.0000
0.0000 4.4487 0.0000
0.0000 0.0000 6.5935
Li Ga Sb Au
4 1 1 2
Cartesian
0.0000 0.0000 0.0000
0.0000 2.2244 4.8259
2.2244 0.0000 1.7676
2.2244 2.2244 3.2967
0.0000 0.0000 3.2967
2.2244 2.2244 0.0000
0.0000 2.2244 1.8330
2.2244 0.0000 4.7605
```

The crystal system is tetragonal.

=====

## LiScGaAu (GGA-PBE)

Data for crystalline LiScGaAu at its relaxed geometry.

```
LiScGaAu
1.0
4.5388 0.0000 0.0000
0.0000 4.5388 0.0000
0.0000 0.0000 6.4173
Li Sc Ga Au
2 2 2 2
Cartesian
0.0000 2.2694 1.5969
2.2694 0.0000 4.8204
0.0000 0.0000 3.2087
2.2694 2.2694 0.0000
0.0000 0.0000 0.0000
2.2694 2.2694 3.2087
0.0000 2.2694 4.8112
2.2694 0.0000 1.6061
```

The crystal system is tetragonal.

=====

## LiGa2AuSe4 (GGA-PBE)

Data for crystalline LiGa2AuSe4 at its relaxed geometry.

```
LiGa2AuSe4
1.0
5.9175 0.0000 0.0000
0.0000 5.9175 0.0000
0.0000 0.0000 11.2160
Li Ga Au Se
2 4 2 8
Cartesian
0.0000 0.0000 0.0000
2.9587 2.9587 5.6080
0.0000 0.0000 5.6080
0.0000 2.9587 8.4120
2.9587 0.0000 2.8040
2.9587 2.9587 0.0000
0.0000 2.9587 2.8040
2.9587 0.0000 8.4120
1.3675 4.4029 6.9742
1.4442 1.5913 9.8498
1.5146 1.3675 4.2418
1.5913 4.4733 1.3662
4.3262 1.4442 1.3662
4.4029 4.5500 4.2418
4.4733 4.3262 9.8498
4.5500 1.5146 6.9742
```

The crystal system is tetragonal.

=====

## Li2GaSiAu2 (GGA-PBE)

Data for crystalline Li2GaSiAu2 at its relaxed geometry.

```
Li2GaSiAu2
1.0
4.4145 0.0000 0.0000
-2.2073 3.8231 0.0000
0.0000 0.0000 5.6941
Li Ga Si Au
2 1 1 2
Cartesian
0.0000 0.0000 1.4110
0.0000 0.0000 4.2831
2.2073 1.2744 2.8470
0.0000 2.5487 0.0000
0.0000 2.5487 2.8470
2.2073 1.2744 0.0000
```

The crystal system is hexagonal.

=====

Number 1: total DFT energy (no corrections) -25.7 eV per cell. Number 2: total DFT energy (no corrections) -34.1 eV per cell. Number 3: total DFT energy (no corrections) -60.4 eV per cell. Number 4: total DFT energy (no corrections) -21.3 eV per cell.